The following is a DFT calculation (PBE-GGA) of crystalline SrAl3C at its relaxed geometry.

Cell and atoms, written as extended XYZ:
```
5
Lattice="4.531 0.000 0.000 0.000 4.531 0.000 0.000 0.000 4.531" Properties=species:S:1:pos:R:3 pbc="T T T"
Al 0.000 2.266 0.000
Al 0.000 0.000 2.266
Al 2.266 0.000 0.000
C 0.000 0.000 0.000
Sr 2.266 2.266 2.266
```

Properties
Space group ... Pm-3m
Calculated total energy ... -3.87 eV per atom
Distance to the lowest polymorph of the same formula ... 0 meV per atom
D(E_F) ... 2.65 states/eV/cell
ΔH_f (0 K) ... 0.559 eV/atom